No. 1
# Tm4Te2CS | Alexandria | GGA-PBE | optimized geometry
# size of the total moment	0.0	Bohr magnetons per cell
# energy relative to the elements, uncorrected	-1.270	eV/atom
data_Tm4Te2CS
_cell_length_a 6.813
_cell_length_b 3.884
_cell_length_c 7.230
_cell_angle_alpha 90.00
_cell_angle_beta 108.07
_cell_angle_gamma 90.00
_symmetry_space_group_name_H-M 'P 1 2/m 1'
_symmetry_Int_Tables_number 10
loop_
_symmetry_equiv_pos_as_xyz
'x,y,z'
'-x,-y,-z'
'-x,y,-z'
'x,-y,z'
loop_
_atom_site_label
_atom_site_type_symbol
_atom_site_fract_x
_atom_site_fract_y
_atom_site_fract_z
Tm1 Tm 0.208 0.000 0.192
Tm2 Tm 0.240 0.500 0.804
Te1 Te 0.000 0.000 0.500
Te2 Te 0.500 0.500 0.500
C1 C 0.000 0.500 0.000
S1 S 0.500 0.000 0.000

---

No. 2
# SmThNbN3 | Alexandria | GGA-PBE | optimized geometry
# size of the total moment	0.0	Bohr magnetons per cell
# energy relative to the elements, uncorrected	-1.080	eV/atom
data_SmThNbN3
_cell_length_a 7.374
_cell_length_b 3.442
_cell_length_c 8.018
_cell_angle_alpha 90.00
_cell_angle_beta 90.73
_cell_angle_gamma 90.00
_symmetry_space_group_name_H-M 'P 1 21/m 1'
_symmetry_Int_Tables_number 11
loop_
_symmetry_equiv_pos_as_xyz
'x,y,z'
'-x,-y,-z'
'-x,y+1/2,-z'
'x,-y+1/2,z'
loop_
_atom_site_label
_atom_site_type_symbol
_atom_site_fract_x
_atom_site_fract_y
_atom_site_fract_z
Sm1 Sm 0.129 0.250 0.342
Th1 Th 0.390 0.750 0.672
Nb1 Nb 0.128 0.250 0.935
N1 N 0.135 0.250 0.659
N2 N 0.167 0.750 0.079
N3 N 0.385 0.750 0.391